Material: Sr5C3
Method: DFT, PBE
State: relaxed Values from VASP.

```
&SYSTEM
  ibrav = 0, nat = 16, ntyp = 2
/
ATOMIC_SPECIES
Sr 87.62 Sr.upf
C 12.01 C.upf
ATOMIC_POSITIONS angstrom
Sr 3.369 -4.749 -0.193
Sr 0.904 -3.610 -2.616
Sr 2.656 -7.128 2.146
Sr 2.765 0.559 0.184
Sr 4.835 -2.631 2.044
Sr 5.707 -0.888 -0.756
Sr 4.241 -3.006 -2.993
Sr 0.838 -2.621 0.648
Sr 3.243 0.251 -3.180
Sr 7.746 1.274 0.920
C 5.866 -0.111 2.180
C 4.644 1.944 -1.077
C 3.139 -4.613 2.837
C 2.844 -1.875 -1.041
C 0.355 -5.136 -0.043
C 6.232 -3.762 0.092
CELL_PARAMETERS angstrom
-1.435 -7.470 -2.052
5.582 4.111 -3.744
4.929 -2.278 4.847
```

Values from the calculation:
- ΔE to the lowest computed polymorph (meV per atom) = 0
- formation energy from the elements (eV per atom) = 0.767

Material: La2CeH
Method: DFT, PBE
State: relaxed Values from VASP.

```
&SYSTEM
  ibrav = 0, nat = 4, ntyp = 3
/
ATOMIC_SPECIES
La 138.91 La.upf
Ce 140.12 Ce.upf
H 1.01 H.upf
ATOMIC_POSITIONS angstrom
La 0.927 -9.531 -0.892
La -0.297 -2.614 -0.233
Ce 0.315 -6.072 -0.562
H 0.000 0.000 0.000
CELL_PARAMETERS angstrom
-2.131 -2.489 1.664
-2.211 -2.154 -1.995
4.972 -7.502 -0.794
```

Values from the calculation:
- ΔE to the lowest computed polymorph (meV per atom) = 2

Material: ZrCu2Pt
Method: DFT, PBE
State: relaxed Values from VASP.

```
&SYSTEM
  ibrav = 0, nat = 4, ntyp = 3
/
ATOMIC_SPECIES
Pt 195.08 Pt.upf
Zr 91.22 Zr.upf
Cu 63.55 Cu.upf
ATOMIC_POSITIONS angstrom
Pt 3.180 2.287 0.000
Zr 0.777 2.275 1.419
Cu 0.001 0.001 0.000
Cu 2.418 -0.008 1.392
CELL_PARAMETERS angstrom
4.822 0.005 -0.027
1.538 4.570 0.027
-3.166 -2.307 2.812
```

Values from the calculation:
- formation energy from the elements (eV per atom) = -0.457

Material: MgTe2MoN
Method: DFT, PBE
State: relaxed Values from VASP.

```
&SYSTEM
  ibrav = 0, nat = 5, ntyp = 4
/
ATOMIC_SPECIES
Mg 24.30 Mg.upf
Te 127.60 Te.upf
N 14.01 N.upf
Mo 95.94 Mo.upf
ATOMIC_POSITIONS angstrom
Mg -2.135 -1.739 -3.346
Te 0.942 -1.594 -2.035
Te -1.774 1.178 -1.743
N -1.304 -1.323 0.433
Mo 0.000 0.000 0.000
CELL_PARAMETERS angstrom
-3.547 2.356 -3.487
1.884 -3.189 -4.071
-2.607 -2.645 0.866
```

Values from the calculation:
- ΔE to the lowest computed polymorph (meV per atom) = 0
- formation energy (no corrections) (eV/atom) = 0.061

Material: TlZnSb3
Method: DFT, PBE
State: relaxed Values from VASP.

```
&SYSTEM
  ibrav = 0, nat = 5, ntyp = 3
/
ATOMIC_SPECIES
Zn 65.41 Zn.upf
Tl 204.38 Tl.upf
Sb 121.76 Sb.upf
ATOMIC_POSITIONS angstrom
Zn -2.064 -4.458 0.816
Tl 0.000 0.000 0.000
Sb -2.820 -0.505 0.236
Sb 0.267 -2.292 -1.716
Sb 0.490 -1.661 2.295
CELL_PARAMETERS angstrom
-5.641 -1.011 0.473
0.534 -4.583 -3.431
0.980 -3.322 4.590
```

Values from the calculation:
- ΔE to the lowest computed polymorph (meV per atom) = 623
- formation energy (no corrections) (eV/atom) = 1.023

Material: Re2As3
Method: DFT, PBE
State: relaxed Values from VASP.

```
&SYSTEM
  ibrav = 0, nat = 10, ntyp = 2
/
ATOMIC_SPECIES
As 74.92 As.upf
Re 186.21 Re.upf
ATOMIC_POSITIONS angstrom
As -0.708 -3.117 -1.228
As -3.651 -5.398 -1.493
As 2.124 -3.458 -0.764
As 0.290 -6.124 -1.010
As 6.065 -4.184 -0.281
As 3.122 -6.465 -0.546
Re -1.320 -5.145 -2.690
Re 3.734 -4.437 0.916
Re -1.749 -2.409 0.903
Re 4.163 -7.173 -2.677
CELL_PARAMETERS angstrom
-0.630 -1.687 2.604
-4.317 -3.532 -3.332
7.361 -4.363 -1.046
```

Values from the calculation:
- ΔE to the lowest computed polymorph (meV per atom) = 0
- formation energy from the elements (eV per atom) = 0.005

Material: HgGe2Au2
Method: DFT, PBE
State: relaxed Values from VASP.

```
&SYSTEM
  ibrav = 0, nat = 10, ntyp = 3
/
ATOMIC_SPECIES
Hg 200.59 Hg.upf
Au 196.97 Au.upf
Ge 72.64 Ge.upf
ATOMIC_POSITIONS angstrom
Hg 0.000 0.000 0.000
Hg 1.158 -5.145 -2.744
Au 3.507 -7.387 -3.987
Au 1.162 -3.272 0.187
Au 3.788 -2.970 -3.411
Au 0.881 -7.690 -0.390
Ge 0.980 -8.374 -3.203
Ge 1.336 -1.915 -2.284
Ge 3.083 -4.877 -5.370
Ge -0.766 -5.412 -0.117
CELL_PARAMETERS angstrom
-2.163 -8.026 1.257
4.479 -2.264 -6.745
2.353 -0.370 1.687
```

Values from the calculation:
- ΔE to the lowest computed polymorph (meV per atom) = 83
- formation energy from the elements (eV per atom) = 0.132

Material: Nd3ErSc
Method: DFT, PBE
State: relaxed Values from VASP.

```
&SYSTEM
  ibrav = 0, nat = 10, ntyp = 3
/
ATOMIC_SPECIES
Er 167.26 Er.upf
Sc 44.96 Sc.upf
Nd 144.24 Nd.upf
ATOMIC_POSITIONS angstrom
Er 0.950 -5.131 2.185
Er -0.051 0.831 8.611
Sc 2.013 -1.814 7.237
Sc -1.113 -2.486 3.560
Nd -2.798 -0.189 1.447
Nd -3.170 0.236 4.779
Nd -0.749 -2.730 0.180
Nd 4.069 -4.536 6.018
Nd 1.649 -1.571 10.617
Nd 3.697 -4.112 9.349
CELL_PARAMETERS angstrom
-3.500 -0.195 -0.361
5.800 -7.827 -0.386
-1.401 3.721 11.543
```

Values from the calculation:
- ΔE to the lowest computed polymorph (meV per atom) = 0
- formation energy from the elements (eV per atom) = 0.078

Material: Nd2ThSc
Method: DFT, PBE
State: relaxed Values from VASP.

```
&SYSTEM
  ibrav = 0, nat = 4, ntyp = 3
/
ATOMIC_SPECIES
Th 232.04 Th.upf
Nd 144.24 Nd.upf
Sc 44.96 Sc.upf
ATOMIC_POSITIONS angstrom
Th 1.787 1.787 4.969
Nd 0.000 0.000 7.522
Nd 0.000 0.000 2.415
Sc 1.787 1.787 0.000
CELL_PARAMETERS angstrom
3.574 0.000 0.000
0.000 3.574 0.000
0.000 0.000 9.937
```

Values from the calculation:
- ΔE to the lowest computed polymorph (meV per atom) = 14
- formation energy from the elements (eV per atom) = 0.082

Material: Ac3NdCd
Method: DFT, PBE
State: relaxed Values from VASP.

```
&SYSTEM
  ibrav = 0, nat = 10, ntyp = 3
/
ATOMIC_SPECIES
Nd 144.24 Nd.upf
Cd 112.41 Cd.upf
Ac 227.00 Ac.upf
ATOMIC_POSITIONS angstrom
Nd -1.752 -5.699 1.122
Nd 2.331 -7.286 -3.191
Cd -1.983 -9.562 1.376
Cd 2.561 -3.423 -3.444
Ac 1.651 -0.954 -0.843
Ac -0.779 -8.134 -1.514
Ac -1.072 -12.031 -1.226
Ac -2.072 -2.585 -1.017
Ac 1.358 -4.851 -0.555
Ac 2.651 -10.399 -1.052
CELL_PARAMETERS angstrom
-1.822 -0.117 -3.437
7.279 -2.810 -3.763
-4.878 -10.058 5.131
```

Values from the calculation:
- ΔE to the lowest computed polymorph (meV per atom) = 0
- formation energy from the elements (eV per atom) = -0.012

Material: SbAuSN2
Method: DFT, PBE
State: relaxed Values from VASP.

```
&SYSTEM
  ibrav = 0, nat = 5, ntyp = 4
/
ATOMIC_SPECIES
S 32.06 S.upf
Au 196.97 Au.upf
N 14.01 N.upf
Sb 121.76 Sb.upf
ATOMIC_POSITIONS angstrom
S 0.000 0.000 2.938
Au 1.950 1.950 2.938
N 0.000 1.950 0.000
N 1.950 0.000 0.000
Sb 0.000 0.000 0.000
CELL_PARAMETERS angstrom
3.900 0.000 0.000
0.000 3.900 0.000
0.000 0.000 5.876
```

Values from the calculation:
- ΔE to the lowest computed polymorph (meV per atom) = 0
- formation energy (no corrections) (eV/atom) = 1.361

Material: K2NaTlI6
Method: DFT, PBE
State: relaxed Values from VASP.

```
&SYSTEM
  ibrav = 0, nat = 20, ntyp = 4
/
ATOMIC_SPECIES
K 39.10 K.upf
I 126.90 I.upf
Na 22.99 Na.upf
Tl 204.38 Tl.upf
ATOMIC_POSITIONS angstrom
K -5.755 1.602 1.116
K -7.650 -0.542 -3.758
K -8.821 0.583 8.287
K -10.716 -1.561 3.412
I -12.474 -1.951 0.328
I -14.204 -0.884 4.559
I -10.812 -2.268 6.925
I -8.606 -4.190 2.195
I -5.658 2.309 -2.396
I -7.865 4.231 2.334
I -7.946 0.431 4.660
I -8.525 -0.391 -0.131
I -3.996 1.991 4.201
I -2.266 0.925 -0.030
I -4.953 -1.810 2.406
I -11.517 1.851 2.123
Na -6.634 -3.038 -0.071
Na -1.602 3.058 2.336
Tl -3.137 0.631 -2.978
Tl -5.098 -0.611 5.242
CELL_PARAMETERS angstrom
-3.203 6.117 4.671
-6.275 1.262 -5.955
-6.992 -7.338 5.813
```

Values from the calculation:
- ΔE to the lowest computed polymorph (meV per atom) = 0
- formation energy (no corrections) (eV/atom) = -0.916